Record 1
The following is a DFT calculation (GGA-PBE) of a relaxed structure of Tl2In2Pb.

Output
E_tot = -13.4 eV/f.u.
Energy relative to the elements = 0.10 eV per atom
Crystal system = tetragonal
Total moment = 0.000 Bohr magnetons per cell

a b c (Å): 8.9874 8.9874 3.7488
angles (deg): 90.00 90.00 90.00
With the nearest neighbours (Å) after each atom.
Fractional positions:
Tl: 0.1377 0.3623 0.0000  6 In 3.15-3.29, 2 Pb 3.48, 1 Tl 3.50
Tl: 0.3623 0.8623 0.0000  6 In 3.15-3.29, 2 Pb 3.48, 1 Tl 3.50
Tl: 0.6377 0.1377 0.0000  6 In 3.15-3.29, 2 Pb 3.48, 1 Tl 3.50
Tl: 0.8623 0.6377 0.0000  6 In 3.15-3.29, 2 Pb 3.48, 1 Tl 3.50
In: 0.1627 0.6627 0.5000  6 Tl 3.15-3.29
In: 0.3373 0.1627 0.5000  6 Tl 3.15-3.29
In: 0.6627 0.8373 0.5000  6 Tl 3.15-3.29
In: 0.8373 0.3373 0.5000  6 Tl 3.15-3.29
Pb: 0.0000 0.0000 0.0000  4 Tl 3.48, 2 Pb 3.75, 8 In 3.85
Pb: 0.5000 0.5000 0.0000  4 Tl 3.48, 2 Pb 3.75, 8 In 3.85

Record 2
The following is a DFT calculation (GGA-PBE) of a relaxed structure of Tl8In2Pb.

Output
E_tot = -26.9 eV/f.u.
Energy relative to the elements = 0.11 eV per atom
Crystal system = monoclinic
Total moment = 0.000 Bohr magnetons per cell

a b c (Å): 8.7396 8.7396 5.9198
angles (deg): 104.54 104.54 57.79
With the nearest neighbours (Å) after each atom.
Fractional positions:
Tl: 0.1257 0.7351 0.7256  1 In 3.21, 1 Pb 3.22, 5 Tl 3.30-3.50
Tl: 0.1391 0.1391 0.8083  1 In 3.40, 8 Tl 3.45-3.63
Tl: 0.2649 0.8743 0.2744  1 In 3.21, 1 Pb 3.22, 5 Tl 3.30-3.50
Tl: 0.2717 0.2717 0.4030  2 In 3.26-3.34, 1 Pb 3.37, 4 Tl 3.39-3.56
Tl: 0.7283 0.7283 0.5970  2 In 3.26-3.34, 1 Pb 3.37, 4 Tl 3.39-3.56
Tl: 0.7351 0.1257 0.7256  1 In 3.21, 1 Pb 3.22, 5 Tl 3.30-3.50
Tl: 0.8609 0.8609 0.1917  1 In 3.40, 8 Tl 3.45-3.63
Tl: 0.8743 0.2649 0.2744  1 In 3.21, 1 Pb 3.22, 5 Tl 3.30-3.50
In: 0.3708 0.3708 0.9690  1 Pb 3.20, 5 Tl 3.21-3.40
In: 0.6292 0.6292 0.0310  1 Pb 3.20, 5 Tl 3.21-3.40
Pb: 0.5000 0.5000 0.5000  2 In 3.20, 6 Tl 3.22-3.37

Record 3
The following is a DFT calculation (GGA-PBE) of a relaxed structure of TlIn6Pb3.

Output
E_tot = -29.3 eV/f.u.
Energy relative to the elements = 0.06 eV per atom
Crystal system = monoclinic
Total moment = 0.000 Bohr magnetons per cell

a b c (Å): 10.7821 4.9866 11.6715
angles (deg): 90.00 104.13 90.00
With the nearest neighbours (Å) after each atom.
Fractional positions:
Tl: 0.1988 0.2500 0.1825  9 In 3.16-3.53, 1 Pb 3.34
Tl: 0.8012 0.7500 0.8175  9 In 3.16-3.53, 1 Pb 3.34
In: 0.0183 0.2500 0.9052  3 Tl 3.34-3.40, 5 In 3.37-3.59, 3 Pb 3.38-3.46
In: 0.1091 0.2500 0.5370  6 Pb 3.23-3.48, 3 In 3.26-3.39
In: 0.2586 0.7500 0.0095  7 In 3.30-3.59, 2 Tl 3.37, 3 Pb 3.40-3.46
In: 0.3709 0.2500 0.4443  1 Tl 3.16, 4 In 3.26-3.35, 3 Pb 3.29-3.39
In: 0.4303 0.7500 0.2857  6 In 3.26-3.46, 3 Pb 3.39-3.51, 2 Tl 3.53
In: 0.4780 0.2500 0.0955  4 Pb 3.33-3.44, 7 In 3.36-3.46, 1 Tl 3.40
In: 0.5220 0.7500 0.9045  4 Pb 3.33-3.44, 7 In 3.36-3.46, 1 Tl 3.40
In: 0.5697 0.2500 0.7143  6 In 3.26-3.46, 3 Pb 3.39-3.51, 2 Tl 3.53
In: 0.6291 0.7500 0.5557  1 Tl 3.16, 4 In 3.26-3.35, 3 Pb 3.29-3.39
In: 0.7414 0.2500 0.9905  7 In 3.30-3.59, 2 Tl 3.37, 3 Pb 3.40-3.46
In: 0.8909 0.7500 0.4630  6 Pb 3.23-3.48, 3 In 3.26-3.39
In: 0.9817 0.7500 0.0948  3 Tl 3.34-3.40, 5 In 3.37-3.59, 3 Pb 3.38-3.46
Pb: 0.0732 0.7500 0.7280  6 In 3.23-3.43, 1 Tl 3.34, 3 Pb 3.41-3.48
Pb: 0.3022 0.2500 0.8177  8 In 3.33-3.46, 4 Pb 3.48-3.50
Pb: 0.3384 0.7500 0.6181  8 In 3.29-3.51, 3 Pb 3.41-3.50
Pb: 0.6616 0.2500 0.3819  8 In 3.29-3.51, 3 Pb 3.41-3.50
Pb: 0.6978 0.7500 0.1823  8 In 3.33-3.46, 4 Pb 3.48-3.50
Pb: 0.9268 0.2500 0.2720  6 In 3.23-3.43, 1 Tl 3.34, 3 Pb 3.41-3.48

Record 4
The following is a DFT calculation (GGA-PBE) of a relaxed structure of TlIn2Pb.

Output
E_tot = -11.4 eV/f.u.
Energy relative to the elements = 0.03 eV per atom
Crystal system = monoclinic
Total moment = 0.000 Bohr magnetons per cell

a b c (Å): 3.4842 5.3132 6.5285
angles (deg): 90.00 102.60 90.00
With the nearest neighbours (Å) after each atom.
Fractional positions:
Tl: 0.0000 0.0000 0.0000  2 Pb 3.35, 4 In 3.36, 2 Tl 3.48
In: 0.2668 0.5000 0.7494  2 Pb 3.31, 4 In 3.32-3.48, 2 Tl 3.36
In: 0.7332 0.5000 0.2506  2 Pb 3.31, 4 In 3.32-3.48, 2 Tl 3.36
Pb: 0.5000 0.0000 0.5000  4 In 3.31, 2 Tl 3.35, 2 Pb 3.48

Record 5
The following is a DFT calculation (GGA-PBE) of a relaxed structure of Tl3In2Pb8.

Output
E_tot = -41.2 eV/f.u.
Energy relative to the elements = 0.08 eV per atom
Crystal system = monoclinic
Total moment = 0.000 Bohr magnetons per cell

a b c (Å): 8.3631 8.3631 6.7384
angles (deg): 98.71 98.71 67.54
With the nearest neighbours (Å) after each atom.
Fractional positions:
Tl: 0.0000 0.0000 0.0000  6 Pb 3.26-3.41, 2 In 3.43
Tl: 0.1818 0.8182 0.5000  2 In 3.37, 3 Tl 3.38-3.77, 4 Pb 3.40-3.48
Tl: 0.8182 0.1818 0.5000  2 In 3.37, 3 Tl 3.38-3.77, 4 Pb 3.40-3.48
In: 0.1942 0.1942 0.7511  7 Pb 3.27-3.49, 3 Tl 3.37-3.43
In: 0.8058 0.8058 0.2489  7 Pb 3.27-3.49, 3 Tl 3.37-3.43
Pb: 0.1783 0.5643 0.0402  6 Pb 3.33-3.72, 2 In 3.37-3.38, 2 Tl 3.41-3.48
Pb: 0.2187 0.2187 0.2762  1 Tl 3.26, 2 In 3.28-3.49, 5 Pb 3.36-3.64
Pb: 0.4156 0.4156 0.6495  1 In 3.27, 4 Pb 3.33-3.36, 2 Tl 3.40
Pb: 0.4357 0.8217 0.9598  6 Pb 3.33-3.72, 2 In 3.37-3.38, 2 Tl 3.41-3.48
Pb: 0.5643 0.1783 0.0402  6 Pb 3.33-3.72, 2 In 3.37-3.38, 2 Tl 3.41-3.48
Pb: 0.5844 0.5844 0.3505  1 In 3.27, 4 Pb 3.33-3.36, 2 Tl 3.40
Pb: 0.7813 0.7813 0.7238  1 Tl 3.26, 2 In 3.28-3.49, 5 Pb 3.36-3.64
Pb: 0.8217 0.4357 0.9598  6 Pb 3.33-3.72, 2 In 3.37-3.38, 2 Tl 3.41-3.48

Record 6
The following is a DFT calculation (GGA-PBE) of a relaxed structure of Tl3In8Pb.

Output
E_tot = -32.2 eV/f.u.
Energy relative to the elements = 0.05 eV per atom
Crystal system = trigonal
Total moment = 0.000 Bohr magnetons per cell

a b c (Å): 11.0232 11.0232 11.0232
angles (deg): 32.99 32.99 32.99
With the nearest neighbours (Å) after each atom.
Fractional positions:
Tl: 0.0000 0.0000 0.0000  12 In 3.67-3.75, 4 Tl 3.85-3.93
Tl: 0.1256 0.1256 0.1256  12 In 3.67-3.69, 3 Pb 3.82, 1 Tl 3.93
Tl: 0.6241 0.6241 0.6241  12 In 3.68-3.76, 3 Tl 3.85, 1 Pb 3.92
In: 0.0616 0.0616 0.5613  6 In 3.13-3.19
In: 0.0616 0.5613 0.0616  6 In 3.13-3.19
In: 0.0632 0.5626 0.5626  6 In 3.13-3.18
In: 0.3122 0.3122 0.3122  6 In 3.18-3.19
In: 0.5613 0.0616 0.0616  6 In 3.13-3.19
In: 0.5626 0.0632 0.5626  6 In 3.13-3.18
In: 0.5626 0.5626 0.0632  6 In 3.13-3.18
In: 0.8121 0.8121 0.8121  6 In 3.15
Pb: 0.4986 0.4986 0.4986  12 In 3.67-3.70, 4 Tl 3.82-3.92

Record 7
The following is a DFT calculation (GGA-PBE) of a relaxed structure of Tl2In2Pb.

Output
E_tot = -13.8 eV/f.u.
Energy relative to the elements = 0.02 eV per atom
Crystal system = monoclinic
Total moment = 0.000 Bohr magnetons per cell

a b c (Å): 16.9137 5.2520 3.3535
angles (deg): 90.00 97.43 90.00
With the nearest neighbours (Å) after each atom.
Fractional positions:
Tl: 0.1027 0.0000 0.0450  5 In 3.31-3.61, 3 Tl 3.35-3.45, 4 Pb 3.53-3.60
Tl: 0.3973 0.5000 0.9550  5 In 3.31-3.61, 3 Tl 3.35-3.45, 4 Pb 3.53-3.60
Tl: 0.6027 0.5000 0.0450  5 In 3.31-3.61, 3 Tl 3.35-3.45, 4 Pb 3.53-3.60
Tl: 0.8973 0.0000 0.9550  5 In 3.31-3.61, 3 Tl 3.35-3.45, 4 Pb 3.53-3.60
In: 0.2034 0.5000 0.6502  4 In 3.29-3.35, 5 Tl 3.31-3.61, 1 Pb 3.41
In: 0.2966 0.0000 0.3498  4 In 3.29-3.35, 5 Tl 3.31-3.61, 1 Pb 3.41
In: 0.7034 0.0000 0.6502  4 In 3.29-3.35, 5 Tl 3.31-3.61, 1 Pb 3.41
In: 0.7966 0.5000 0.3498  4 In 3.29-3.35, 5 Tl 3.31-3.61, 1 Pb 3.41
Pb: 0.0000 0.5000 0.5000  2 Pb 3.35, 2 In 3.41, 8 Tl 3.53-3.60
Pb: 0.5000 0.0000 0.5000  2 Pb 3.35, 2 In 3.41, 8 Tl 3.53-3.60

Record 8
The following is a DFT calculation (GGA-PBE) of a relaxed structure of Tl4In2Pb3.

Output
E_tot = -26.0 eV/f.u.
Energy relative to the elements = 0.01 eV per atom
Crystal system = monoclinic
Total moment = 0.000 Bohr magnetons per cell

a b c (Å): 6.1149 6.1149 10.3803
angles (deg): 105.91 105.91 47.59
With the nearest neighbours (Å) after each atom.
Fractional positions:
Tl: 0.0027 0.0027 0.1703  6 Pb 3.43-3.59, 3 In 3.46-3.56, 3 Tl 3.50-3.52
Tl: 0.3280 0.3280 0.6107  4 Tl 3.47-3.50, 4 In 3.48-3.58, 4 Pb 3.50-3.53
Tl: 0.6720 0.6720 0.3893  4 Tl 3.47-3.50, 4 In 3.48-3.58, 4 Pb 3.50-3.53
Tl: 0.9973 0.9973 0.8297  6 Pb 3.43-3.59, 3 In 3.46-3.56, 3 Tl 3.50-3.52
In: 0.3365 0.3365 0.2767  5 Pb 3.37-3.55, 7 Tl 3.46-3.58
In: 0.6635 0.6635 0.7233  5 Pb 3.37-3.55, 7 Tl 3.46-3.58
Pb: 0.0000 0.0000 0.5000  8 Tl 3.43-3.53, 4 In 3.50
Pb: 0.3332 0.3332 0.9515  3 In 3.37-3.55, 3 Pb 3.42-3.56, 6 Tl 3.50-3.59
Pb: 0.6668 0.6668 0.0485  3 In 3.37-3.55, 3 Pb 3.42-3.56, 6 Tl 3.50-3.59